Entry 1:
# Dy2ErWO8

Dy2ErWO8 after structural relaxation (PBE+U, Alexandria via LeMat-Bulk).

a b c (Å): 5.0551 5.0545 6.7839
angles (deg): 90.00 90.00 90.86
Positions (direct):
1 Dy 0.5000 0.5000 0.7496
2 Dy 0.5000 0.5000 0.2504
3 Er 0.0000 0.0000 0.5000
4 W 0.0000 0.0000 0.0000
5 O 0.1821 0.8171 0.2145
6 O 0.7244 0.7253 0.0000
7 O 0.8179 0.1829 0.2145
8 O 0.8179 0.1829 0.7855
9 O 0.2756 0.2747 0.0000
10 O 0.1821 0.8171 0.7855
11 O 0.6941 0.6952 0.5000
12 O 0.3059 0.3048 0.5000

Calculated values
* crystal system: orthorhombic
* space-group type: Cmmm, No. 65

Entry 2:
# DyErWO6

DyErWO6 after structural relaxation (PBE+U, Alexandria via LeMat-Bulk).

a b c (Å): 5.5034 5.5034 9.4921
angles (deg): 90.00 90.00 120.00
Positions (direct):
1 Dy 0.0000 0.0000 0.0000
2 Dy 0.0000 0.0000 0.5000
3 Er 0.3333 0.6667 0.2500
4 Er 0.6667 0.3333 0.7500
5 W 0.6667 0.3333 0.2500
6 W 0.3333 0.6667 0.7500
7 O 0.6701 0.6314 0.1355
8 O 0.9613 0.3299 0.1355
9 O 0.3299 0.9613 0.6355
10 O 0.0387 0.6701 0.8645
11 O 0.3686 0.3299 0.3645
12 O 0.9613 0.6314 0.3645
13 O 0.6314 0.9613 0.8645
14 O 0.6701 0.0387 0.3645
15 O 0.0387 0.3686 0.6355
16 O 0.3686 0.0387 0.1355
17 O 0.6314 0.6701 0.6355
18 O 0.3299 0.3686 0.8645

Calculated values
* crystal system: trigonal
* space-group type: P-31c, No. 163

| no. | E (Ry per atom) | total magnetization (μB/cell) |
| --- | --- | --- |
| 1 | -0.5813 | 0.86 |
| 2 | -0.5920 | 0.00 |